This record from Alexandria describes a geometry-optimized La2Pm5YIn structure. The functional is PBE.

Summary:
Total magnetization = 0.000 μB per formula unit
VASP energy = -4.781 eV/atom

a = 10.426 Å, b = 10.426 Å, c = 10.942 Å
α = 90.00°, β = 90.00°, γ = 149.02°
Atoms (fractional coordinates):
La: 0.117 0.883 0.500
La: 0.118 0.882 0.907
La: 0.882 0.118 0.407
La: 0.883 0.117 0.000
Pm: 0.014 0.986 0.204
Pm: 0.289 0.711 0.506
Pm: 0.290 0.710 0.902
Pm: 0.384 0.616 0.203
Pm: 0.500 0.500 0.453
Pm: 0.500 0.500 0.953
Pm: 0.616 0.384 0.703
Pm: 0.710 0.290 0.402
Pm: 0.711 0.289 0.006
Pm: 0.986 0.014 0.704
Y: 0.203 0.797 0.204
Y: 0.797 0.203 0.704
In: 0.405 0.595 0.703
In: 0.595 0.405 0.203

---

This record from Alexandria describes a geometry-optimized Zn6Cu4Ag structure. The functional is PBE.

Summary:
Total magnetization = 0.000 μB per formula unit
VASP energy = -2.340 eV/atom

a = 6.331 Å, b = 6.331 Å, c = 6.331 Å
α = 119.67°, β = 119.67°, γ = 90.58°
Atoms (fractional coordinates):
Zn: 0.000 0.500 0.500
Zn: 0.058 0.058 0.671
Zn: 0.387 0.387 0.329
Zn: 0.500 0.000 0.500
Zn: 0.613 0.942 0.000
Zn: 0.942 0.613 0.000
Cu: 0.109 0.109 0.345
Cu: 0.236 0.891 0.000
Cu: 0.764 0.764 0.655
Cu: 0.891 0.236 0.000
Ag: 0.500 0.500 0.000

---

This record from Alexandria describes a geometry-optimized AlBiSbI2 structure. The functional is PBE.

Summary:
Excess energy over the best structure of this formula in the dataset = 201.7 meV/atom
Total magnetization = 0.712 μB per formula unit
Formation energy (no corrections) = 446 meV/atom

a = 6.238 Å, b = 6.238 Å, c = 5.913 Å
α = 90.00°, β = 90.00°, γ = 90.00°
Atoms (fractional coordinates):
Al: 0.000 0.000 0.000
Bi: 0.500 0.500 0.500
Sb: 0.500 0.500 0.000
I: 0.000 0.500 0.500
I: 0.500 0.000 0.500

---

This record from Alexandria describes a geometry-optimized Nd5ScPb5 structure. The functional is PBE.

Summary:
Total magnetization = 0.000 μB per formula unit
VASP energy = -4.741 eV/atom

a = 8.914 Å, b = 8.914 Å, c = 7.331 Å
α = 105.01°, β = 105.01°, γ = 40.48°
Atoms (fractional coordinates):
Nd: 0.000 0.000 0.000
Nd: 0.320 0.320 0.215
Nd: 0.345 0.345 0.725
Nd: 0.655 0.655 0.275
Nd: 0.680 0.680 0.785
Sc: 0.000 0.000 0.500
Pb: 0.160 0.160 0.861
Pb: 0.161 0.161 0.403
Pb: 0.500 0.500 0.500
Pb: 0.839 0.839 0.597
Pb: 0.840 0.840 0.139

---

This record from Alexandria describes a geometry-optimized Na5Cu2O5 structure. The functional is PBE.

Summary:
Total magnetization = 3.050 μB per formula unit
Formation energy (no corrections) = -983 meV/atom

a = 5.537 Å, b = 5.537 Å, c = 9.033 Å
α = 105.05°, β = 105.05°, γ = 34.39°
Atoms (fractional coordinates):
Na: 0.000 0.000 0.000
Na: 0.157 0.157 0.565
Na: 0.255 0.255 0.866
Na: 0.745 0.745 0.134
Na: 0.843 0.843 0.435
Cu: 0.465 0.465 0.706
Cu: 0.535 0.535 0.294
O: 0.149 0.149 0.300
O: 0.394 0.394 0.116
O: 0.500 0.500 0.500
O: 0.606 0.606 0.884
O: 0.851 0.851 0.700

---

This record from Alexandria describes a geometry-optimized Ac2Si3Ag6 structure. The functional is PBE.

Summary:
Total magnetization = 0.000 μB per formula unit
Formation energy (no corrections) = -245 meV/atom

a = 8.001 Å, b = 8.001 Å, c = 4.388 Å
α = 90.00°, β = 90.00°, γ = 120.00°
Atoms (fractional coordinates):
Ac: 0.333 0.667 0.000
Ac: 0.667 0.333 0.000
Si: 0.000 0.362 0.500
Si: 0.362 0.000 0.500
Si: 0.638 0.638 0.500
Ag: 0.000 0.203 0.000
Ag: 0.000 0.696 0.500
Ag: 0.203 0.000 0.000
Ag: 0.304 0.304 0.500
Ag: 0.696 0.000 0.500
Ag: 0.797 0.797 0.000

---

This record from Alexandria describes a geometry-optimized HfSe structure. The functional is PBE.

Summary:
Total magnetization = 0.000 μB per formula unit
Formation energy (no corrections) = -908 meV/atom

a = 5.131 Å, b = 5.131 Å, c = 4.803 Å
α = 101.04°, β = 101.04°, γ = 38.23°
Atoms (fractional coordinates):
Hf: 0.120 0.120 0.308
Hf: 0.880 0.880 0.692
Se: 0.387 0.387 0.203
Se: 0.613 0.613 0.797

---

This record from Alexandria describes a geometry-optimized CoMoIr2 structure. The functional is PBE.

Summary:
Excess energy over the best structure of this formula in the dataset = 434.3 meV/atom
Total magnetization = 1.095 μB per formula unit

a = 4.324 Å, b = 4.324 Å, c = 4.324 Å
α = 60.00°, β = 60.00°, γ = 60.00°
Atoms (fractional coordinates):
Co: 0.000 0.000 0.000
Mo: 0.250 0.250 0.250
Ir: 0.500 0.500 0.500
Ir: 0.750 0.750 0.750

---

This record from Alexandria describes a geometry-optimized V2Ni8H structure. The functional is PBE.

Summary:
Total magnetization = 0.000 μB per formula unit
VASP energy = -6.274 eV/atom

a = 6.517 Å, b = 6.517 Å, c = 4.123 Å
α = 108.41°, β = 108.41°, γ = 120.67°
Atoms (fractional coordinates):
V: 0.189 0.811 0.000
V: 0.811 0.189 0.000
Ni: 0.135 0.369 0.755
Ni: 0.247 0.247 0.251
Ni: 0.309 0.691 0.497
Ni: 0.369 0.135 0.755
Ni: 0.631 0.865 0.251
Ni: 0.691 0.309 0.497
Ni: 0.753 0.753 0.757
Ni: 0.865 0.631 0.251
H: 0.498 0.498 0.821

---

This record from Alexandria describes a geometry-optimized ScFeNiRh structure. The functional is PBE.

Summary:
Total magnetization = 3.658 μB per formula unit
VASP energy = -7.305 eV/atom

a = 4.339 Å, b = 4.339 Å, c = 4.339 Å
α = 60.00°, β = 60.00°, γ = 60.00°
Atoms (fractional coordinates):
Sc: 0.000 0.000 0.000
Fe: 0.500 0.500 0.500
Ni: 0.750 0.750 0.750
Rh: 0.250 0.250 0.250

---

This record from Alexandria describes a geometry-optimized MnNb4W structure. The functional is PBE.

Summary:
Total magnetization = 0.000 μB per formula unit
VASP energy = -9.867 eV/atom

a = 7.300 Å, b = 7.300 Å, c = 7.300 Å
α = 35.19°, β = 35.19°, γ = 35.19°
Atoms (fractional coordinates):
Mn: 0.000 0.000 0.000
Nb: 0.119 0.119 0.119
Nb: 0.370 0.370 0.370
Nb: 0.630 0.630 0.630
Nb: 0.881 0.881 0.881
W: 0.500 0.500 0.500

---

This record from Alexandria describes a geometry-optimized KAlSi2Sn structure. The functional is PBE.

Summary:
Total magnetization = 0.000 μB per formula unit
Formation energy (no corrections) = 1802 meV/atom

a = 5.453 Å, b = 5.453 Å, c = 5.831 Å
α = 90.00°, β = 90.00°, γ = 90.00°
Atoms (fractional coordinates):
K: 0.000 0.000 0.000
Al: 0.500 0.500 0.500
Si: 0.000 0.500 0.000
Si: 0.500 0.000 0.000
Sn: 0.000 0.000 0.500

---

This record from Alexandria describes a geometry-optimized La8CuPd3I4 structure. The functional is PBE.

Summary:
Total magnetization = 0.000 μB per formula unit
Formation energy (no corrections) = -844 meV/atom

a = 8.671 Å, b = 8.671 Å, c = 9.586 Å
α = 116.94°, β = 116.94°, γ = 59.91°
Atoms (fractional coordinates):
La: 0.231 0.231 0.693
La: 0.231 0.731 0.693
La: 0.268 0.268 0.305
La: 0.269 0.769 0.307
La: 0.731 0.231 0.693
La: 0.732 0.732 0.695
La: 0.769 0.269 0.307
La: 0.769 0.769 0.307
Cu: 0.000 0.000 0.500
Pd: 0.000 0.500 0.500
Pd: 0.500 0.000 0.500
Pd: 0.500 0.500 0.500
I: 0.000 0.000 0.000
I: 0.000 0.500 0.000
I: 0.500 0.000 0.000
I: 0.500 0.500 0.000

---

This record from Alexandria describes a geometry-optimized NaI6 structure. The functional is PBE.

Summary:
Total magnetization = 0.000 μB per formula unit
Formation energy (no corrections) = 241 meV/atom

a = 8.280 Å, b = 8.280 Å, c = 8.280 Å
α = 109.47°, β = 109.47°, γ = 109.47°
Atoms (fractional coordinates):
Na: 0.000 0.000 0.000
I: 0.250 0.500 0.750
I: 0.250 0.750 0.500
I: 0.500 0.250 0.750
I: 0.500 0.750 0.250
I: 0.750 0.250 0.500
I: 0.750 0.500 0.250

---

This record from Alexandria describes a geometry-optimized FeTc3P structure. The functional is PBE.

Summary:
Excess energy over the best structure of this formula in the dataset = 553.3 meV/atom
Total magnetization = 0.798 μB per formula unit

a = 4.390 Å, b = 4.390 Å, c = 4.390 Å
α = 90.00°, β = 90.00°, γ = 90.00°
Atoms (fractional coordinates):
Fe: 0.000 0.000 0.000
Tc: 0.000 0.000 0.500
Tc: 0.000 0.500 0.000
Tc: 0.500 0.000 0.000
P: 0.500 0.500 0.500

---

This record from Alexandria describes a geometry-optimized TbThMnGa structure. The functional is PBE.

Summary:
Total magnetization = 2.710 μB per formula unit
VASP energy = -6.148 eV/atom

a = 5.111 Å, b = 5.111 Å, c = 5.111 Å
α = 60.00°, β = 60.00°, γ = 60.00°
Atoms (fractional coordinates):
Tb: 0.000 0.000 0.000
Th: 0.500 0.500 0.500
Mn: 0.750 0.750 0.750
Ga: 0.250 0.250 0.250

---

This record from Alexandria describes a geometry-optimized TbPmY2Sc structure. The functional is PBE.

Summary:
Total magnetization = 0.000 μB per formula unit
VASP energy = -5.396 eV/atom

a = 6.976 Å, b = 6.976 Å, c = 7.133 Å
α = 90.00°, β = 90.00°, γ = 107.68°
Atoms (fractional coordinates):
Tb: 0.234 0.766 0.750
Tb: 0.766 0.234 0.250
Pm: 0.232 0.768 0.250
Pm: 0.768 0.232 0.750
Y: 0.198 0.198 0.000
Y: 0.198 0.198 0.500
Y: 0.802 0.802 0.000
Y: 0.802 0.802 0.500
Sc: 0.496 0.504 0.250
Sc: 0.504 0.496 0.750

---

This record from Alexandria describes a geometry-optimized Pm5Tl2In structure. The functional is PBE.

Summary:
Total magnetization = 0.001 μB per formula unit
VASP energy = -4.217 eV/atom

a = 8.969 Å, b = 8.969 Å, c = 8.969 Å
α = 121.62°, β = 121.62°, γ = 87.22°
Atoms (fractional coordinates):
Pm: 0.000 0.000 0.000
Pm: 0.002 0.502 0.809
Pm: 0.193 0.002 0.500
Pm: 0.307 0.807 0.809
Pm: 0.498 0.307 0.500
Pm: 0.500 0.500 0.000
Pm: 0.502 0.693 0.500
Pm: 0.693 0.193 0.191
Pm: 0.807 0.998 0.500
Pm: 0.998 0.498 0.191
Tl: 0.145 0.355 0.500
Tl: 0.355 0.855 0.209
Tl: 0.645 0.145 0.791
Tl: 0.855 0.645 0.500
In: 0.250 0.250 0.000
In: 0.750 0.750 0.000

---

This record from Alexandria describes a geometry-optimized Mg2Sb structure. The functional is PBE.

Summary:
Total magnetization = 0.000 μB per formula unit
Formation energy (no corrections) = -23 meV/atom

a = 3.309 Å, b = 3.309 Å, c = 15.450 Å
α = 90.00°, β = 90.00°, γ = 120.00°
Atoms (fractional coordinates):
Mg: 0.333 0.667 0.081
Mg: 0.333 0.667 0.419
Mg: 0.667 0.333 0.581
Mg: 0.667 0.333 0.919
Sb: 0.333 0.667 0.750
Sb: 0.667 0.333 0.250

---

This record from Alexandria describes a geometry-optimized CaZr2OsPt structure. The functional is PBE.

Summary:
Total magnetization = 0.000 μB per formula unit
VASP energy = -6.875 eV/atom

a = 4.964 Å, b = 4.964 Å, c = 5.372 Å
α = 90.00°, β = 90.00°, γ = 90.00°
Atoms (fractional coordinates):
Ca: 0.000 0.000 0.000
Zr: 0.000 0.500 0.500
Zr: 0.500 0.000 0.500
Os: 0.000 0.000 0.500
Pt: 0.500 0.500 0.000